! GGA-PBE CrCdCo2, optimized geometry; values from VASP
&SYSTEM
  ibrav = 0, nat = 4, ntyp = 3
/
ATOMIC_SPECIES
Co 58.93 Co.upf
Cr 52.00 Cr.upf
Cd 112.41 Cd.upf
CELL_PARAMETERS angstrom
-0.2798 -4.4267 7.3836
-2.4304 -5.4747 6.1897
-0.0017 -6.4719 5.6839
ATOMIC_POSITIONS crystal
Co 0.5106 0.5106 0.5106
Co 0.9894 0.9894 0.9894
Cr 0.2500 0.2500 0.2500
Cd 0.7500 0.7500 0.7500
! Energy relative to the elements   0.34 eV per atom
! Calculated total energy   -5.85 eV per atom



! GGA-PBE ZrBiCl6, optimized geometry; values from VASP
&SYSTEM
  ibrav = 0, nat = 8, ntyp = 3
/
ATOMIC_SPECIES
Cl 35.45 Cl.upf
Bi 208.98 Bi.upf
Zr 91.22 Zr.upf
CELL_PARAMETERS angstrom
6.6941 0.0102 0.0090
3.3413 5.8019 0.0130
3.3379 1.9294 6.0597
ATOMIC_POSITIONS crystal
Cl 0.3903 0.7732 0.7601
Cl 0.6096 0.2268 0.2399
Cl 0.7732 0.0765 0.7601
Cl 0.9237 0.6097 0.2399
Cl 0.2268 0.9235 0.2399
Cl 0.0763 0.3903 0.7601
Bi 0.5000 0.5000 0.5000
Zr 0.0000 0.0000 0.0000
! Calculated total energy   -4.24 eV per atom